# 1
{
  "formula": "PuBePb2O6",
  "functional": "PBE-GGA",
  "state": "relaxed",
  "lattice": [[-0.326, 3.241, -4.568], [-5.056, 1.565, 1.471], [4.384, 0.807, 3.956]],
  "species": ["O", "O", "O", "O", "O", "O", "Pu", "Pb", "Pb", "Be"],
  "fractional_positions": [[0.287, 0.723, 0.446], [0.761, 0.267, 0.073], [0.239, 0.733, 0.927], [0.713, 0.277, 0.554], [0.761, 0.806, 0.073], [0.239, 0.194, 0.927], [0.000, 0.500, 0.000], [0.773, 0.740, 0.480], [0.227, 0.260, 0.520], [0.500, 0.000, 0.000]],
  "sg": "No. 12",
  "dos_at_fermi_per_ev_cell": 4.2,
  "formation_energy_uncorrected_ev_per_atom": -1.80,
  "density_g_cm3": 9.5,
  "crystal_system": "monoclinic"
}



# 2
{
  "formula": "PuBePbO6",
  "functional": "PBE-GGA",
  "state": "relaxed",
  "lattice": [[5.115, 0.000, 0.000], [-2.557, 4.429, 0.000], [0.000, 0.000, 10.112]],
  "species": ["O", "O", "O", "O", "O", "O", "O", "O", "O", "O", "O", "O", "Pu", "Pu", "Pb", "Pb", "Be", "Be"],
  "fractional_positions": [[0.356, 0.374, 0.856], [0.018, 0.644, 0.856], [0.982, 0.356, 0.144], [0.644, 0.018, 0.356], [0.982, 0.626, 0.356], [0.018, 0.374, 0.644], [0.626, 0.644, 0.644], [0.374, 0.018, 0.144], [0.644, 0.626, 0.144], [0.626, 0.982, 0.856], [0.356, 0.982, 0.644], [0.374, 0.356, 0.356], [0.667, 0.333, 0.750], [0.333, 0.667, 0.250], [0.000, 0.000, 0.500], [0.000, 0.000, 0.000], [0.333, 0.667, 0.750], [0.667, 0.333, 0.250]],
  "sg": "No. 163",
  "dos_at_fermi_per_ev_cell": 6.8,
  "formation_energy_uncorrected_ev_per_atom": -1.80,
  "density_g_cm3": 8.1,
  "crystal_system": "trigonal"
}



# 3
{
  "formula": "PuBePbO5",
  "functional": "PBE-GGA",
  "state": "relaxed",
  "lattice": [[5.749, 0.075, -0.100], [-1.606, 5.520, -0.100], [-1.844, -2.490, 7.196]],
  "species": ["O", "O", "O", "O", "O", "O", "O", "O", "O", "O", "Pb", "Pb", "Pu", "Pu", "Be", "Be"],
  "fractional_positions": [[0.236, 0.383, 0.606], [0.383, 0.236, 0.106], [0.764, 0.617, 0.394], [0.704, 0.113, 0.378], [0.296, 0.887, 0.622], [0.077, 0.923, 0.250], [0.923, 0.077, 0.750], [0.887, 0.296, 0.122], [0.617, 0.764, 0.894], [0.113, 0.704, 0.878], [0.344, 0.656, 0.250], [0.656, 0.344, 0.750], [0.000, 0.000, 0.000], [0.000, 0.000, 0.500], [0.310, 0.690, 0.750], [0.690, 0.310, 0.250]],
  "sg": "No. 15",
  "dos_at_fermi_per_ev_cell": 9.1,
  "formation_energy_uncorrected_ev_per_atom": -2.14,
  "density_g_cm3": 7.9,
  "crystal_system": "monoclinic"
}



# 4
{
  "formula": "RbBePb2O",
  "functional": "PBE-GGA",
  "state": "relaxed",
  "lattice": [[4.789, 0.000, 0.000], [0.000, 6.422, 0.000], [0.000, 0.000, 4.789]],
  "species": ["Pb", "Pb", "Rb", "Be", "O"],
  "fractional_positions": [[0.000, 0.000, 0.500], [0.500, 0.000, 0.000], [0.000, 0.500, 0.000], [0.000, 0.000, 0.000], [0.500, 0.500, 0.500]],
  "sg": "No. 123",
  "dos_at_fermi_per_ev_cell": 6.8,
  "formation_energy_uncorrected_ev_per_atom": 0.47,
  "density_g_cm3": 5.9,
  "crystal_system": "tetragonal"
}